## CrSbS2 (GGA-PBE)

Data for a relaxed structure of CrSbS2.

Results
- Uncorrected energy: -23.3 eV/f.u.
- Crystal system: triclinic
- Space group: P1
- Energy relative to the elements, uncorrected: -0.32 eV per atom

POSCAR file:
```
CrSbS2
1.0
3.395 0.000 0.000
-1.516 7.105 0.000
-0.936 -1.887 7.190
Cr Sb S
2 2 4
Direct
0.000 0.000 0.000
0.306 0.718 0.755
0.236 0.521 0.354
0.665 0.318 0.997
0.138 0.170 0.315
0.438 0.816 0.068
0.695 0.476 0.728
0.875 0.913 0.683
```

## RbLiTi2Nb (GGA-PBE)

Data for a relaxed structure of RbLiTi2Nb.

Results
- Uncorrected energy: -23.9 eV/f.u.
- Formation energy from the elements: 0.972 eV per atom
- Crystal system: tetragonal
- Space group: P4/mmm

POSCAR file:
```
RbLiTi2Nb
1.0
4.825 0.000 0.000
0.000 4.825 0.000
0.000 0.000 6.023
Rb Li Ti Nb
1 1 2 1
Direct
0.000 0.000 0.000
0.500 0.500 0.000
0.000 0.500 0.500
0.500 0.000 0.500
0.500 0.500 0.500
```

## NdCd3Hg3 (GGA-PBE)

Data for a relaxed structure of NdCd3Hg3.

Results
- Uncorrected energy: -6.1 eV/f.u.
- Formation energy from the elements: 0.336 eV per atom
- ΔE to the lowest computed polymorph: 483 meV/atom
- Crystal system: cubic
- Space group: Pm-3n

POSCAR file:
```
NdCd3Hg3
1.0
7.728 0.000 0.000
0.000 7.728 0.000
0.000 0.000 7.728
Nd Cd Hg
2 6 6
Direct
0.000 0.000 0.000
0.500 0.500 0.500
0.000 0.250 0.500
0.000 0.750 0.500
0.250 0.500 0.000
0.500 0.000 0.250
0.500 0.000 0.750
0.750 0.500 0.000
0.000 0.500 0.250
0.000 0.500 0.750
0.250 0.000 0.500
0.500 0.250 0.000
0.500 0.750 0.000
0.750 0.000 0.500
```

## TmAs2Pd5 (GGA-PBE)

Data for a relaxed structure of TmAs2Pd5.

Results
- Uncorrected energy: -44.4 eV/f.u.
- Formation energy from the elements: -0.589 eV per atom
- Crystal system: orthorhombic
- Space group: Immm

POSCAR file:
```
TmAs2Pd5
1.0
4.021 0.000 0.000
0.000 7.293 0.000
0.000 0.000 9.571
Tm As Pd
2 4 10
Direct
0.000 0.000 0.000
0.500 0.500 0.500
0.000 0.500 0.256
0.000 0.500 0.744
0.500 0.000 0.244
0.500 0.000 0.756
0.000 0.197 0.354
0.000 0.197 0.646
0.000 0.500 0.000
0.000 0.803 0.354
0.000 0.803 0.646
0.500 0.000 0.500
0.500 0.303 0.146
0.500 0.303 0.854
0.500 0.697 0.146
0.500 0.697 0.854
```

Which formula does entry 4 have?
TmAs2Pd5

Which of these has the highest uncorrected energy?
NdCd3Hg3

Which value of uncorrected energy does entry 4 give?
-44.4 eV/f.u.